1.
## NpCuSnIr (PBE)

Data for a relaxed structure of NpCuSnIr.

Final energy, eV per atom: -7.5502
Volume, Å³/f.u.: 75.5
Formation energy from the elements, eV per atom: -0.08

Cell: 4.7435 4.7435 4.7435 Å, 60.00 60.00 60.00°
Closest atoms and distances in Å follow each position.
Sites, in units of the cell vectors:
Np 0.0000 0.0000 0.0000  4 Ir 2.90, 4 Cu 2.90
Cu 0.7500 0.7500 0.7500  4 Sn 2.90, 4 Np 2.90
Sn 0.5000 0.5000 0.5000  4 Cu 2.90, 4 Ir 2.90
Ir 0.2500 0.2500 0.2500  4 Sn 2.90, 4 Np 2.90

=====

2.
## NpUCuIr (PBE)

Data for a relaxed structure of NpUCuIr.

Final energy, eV per atom: -9.5598
Volume, Å³/f.u.: 70.3
Formation energy from the elements, eV per atom: -0.26

Cell: 4.6325 4.6325 4.6325 Å, 60.00 60.00 60.00°
Closest atoms and distances in Å follow each position.
Sites, in units of the cell vectors:
Np 0.0000 0.0000 0.0000  4 U 2.84, 4 Cu 2.84
U 0.2500 0.2500 0.2500  4 Ir 2.84, 4 Np 2.84
Cu 0.7500 0.7500 0.7500  4 Ir 2.84, 4 Np 2.84
Ir 0.5000 0.5000 0.5000  4 Cu 2.84, 4 U 2.84

=====

3.
## NpZnCuIr (PBE)

Data for a relaxed structure of NpZnCuIr.

Final energy, eV per atom: -6.7848
Volume, Å³/f.u.: 69.2
Formation energy from the elements, eV per atom: 0.01

Cell: 4.6088 4.6088 4.6088 Å, 60.00 60.00 60.00°
Closest atoms and distances in Å follow each position.
Sites, in units of the cell vectors:
Np 0.0000 0.0000 0.0000  4 Ir 2.82, 4 Cu 2.82
Zn 0.5000 0.5000 0.5000  4 Cu 2.82, 4 Ir 2.82
Cu 0.7500 0.7500 0.7500  4 Np 2.82, 4 Zn 2.82
Ir 0.2500 0.2500 0.2500  4 Np 2.82, 4 Zn 2.82

=====

> Which of these has the lowest final energy?

NpUCuIr